Below is crystalline SmAgAs2 at its relaxed geometry, with properties calculated at the PBE-GGA level.

abc: 21.078 4.045 4.057
angles: 90.00 90.00 90.00
Element x y z (fractional)
Sm1 0.115 0.250 0.233
Sm2 0.385 0.750 0.733
Sm3 0.615 0.250 0.267
Sm4 0.885 0.750 0.767
Ag1 0.250 0.250 0.732
Ag2 0.250 0.750 0.232
Ag3 0.750 0.250 0.768
Ag4 0.750 0.750 0.268
As1 0.001 0.250 0.708
As2 0.159 0.750 0.733
As3 0.341 0.250 0.233
As4 0.499 0.750 0.208
As5 0.501 0.250 0.792
As6 0.659 0.750 0.767
As7 0.841 0.250 0.267
As8 0.999 0.750 0.292

Energy of formation (eV per atom): -0.77
Total magnetic moment (μB/atom): 0.000

Below is crystalline SiNiTe2 at its relaxed geometry, with properties calculated at the PBE-GGA level.

abc: 4.856 4.856 3.863
angles: 90.00 90.00 106.69
Element x y z (fractional)
Si1 0.000 0.000 0.000
Ni1 0.500 0.500 0.000
Te1 0.279 0.721 0.500
Te2 0.721 0.279 0.500

Energy relative to the elements, uncorrected (eV per atom): 0.2491
Total magnetic moment (μB/atom): 0.000

Below is crystalline LaDyTmTh at its relaxed geometry, with properties calculated at the PBE-GGA level.

abc: 5.703 5.703 5.703
angles: 60.00 60.00 60.00
Element x y z (fractional)
La1 0.000 0.000 0.000
Dy1 0.750 0.750 0.750
Tm1 0.250 0.250 0.250
Th1 0.500 0.500 0.500

Energy of formation (eV per atom): 0.11
Total magnetic moment (μB/atom): 0.000
Energy above the most stable polymorph in this dataset (meV/atom): 97.9

Below is crystalline SrCl3O at its relaxed geometry, with properties calculated at the PBE-GGA level.

abc: 4.687 4.687 4.687
angles: 90.00 90.00 90.00
Element x y z (fractional)
Sr1 0.000 0.000 0.000
Cl1 0.000 0.500 0.500
Cl2 0.500 0.000 0.500
Cl3 0.500 0.500 0.000
O1 0.500 0.500 0.500

Energy relative to the elements, uncorrected (eV per atom): -0.8532
Total magnetic moment (μB/atom): 0.000
Energy above the most stable polymorph in this dataset (meV/atom): 0.0

Below is crystalline Pm4YP5 at its relaxed geometry, with properties calculated at the PBE-GGA level.

abc: 7.118 7.118 7.118
angles: 99.60 99.60 131.79
Element x y z (fractional)
Pm1 0.099 0.700 0.799
Pm2 0.300 0.099 0.399
Pm3 0.700 0.901 0.601
Pm4 0.901 0.300 0.201
Y1 0.500 0.500 0.000
P1 0.000 0.000 0.000
P2 0.203 0.401 0.604
P3 0.401 0.797 0.198
P4 0.599 0.203 0.802
P5 0.797 0.599 0.396

Energy of formation (eV per atom): -1.57
Total magnetic moment (μB/atom): 0.000

Below is crystalline LaSmYEr at its relaxed geometry, with properties calculated at the PBE-GGA level.

abc: 3.622 3.622 11.755
angles: 90.00 90.00 120.00
Element x y z (fractional)
La1 0.000 0.000 0.000
Sm1 0.667 0.333 0.739
Y1 0.333 0.667 0.494
Er1 0.667 0.333 0.254

Energy of formation (eV per atom): 0.02
Total magnetic moment (μB/atom): 0.000
Energy above the most stable polymorph in this dataset (meV/atom): 0.0